Material: Er2Tl3BiSe6
Method: DFT, PBE
State: relaxed

```
12
Lattice="3.646 -6.315 0.000 3.646 6.315 0.000 -2.429 0.000 7.734" Properties=species:S:1:pos:R:3 pbc="T T T"
Er 3.646 4.207 0.000
Er 3.646 -4.207 0.000
Tl -1.214 0.000 3.867
Tl 2.431 2.089 3.867
Tl 2.431 -2.089 3.867
Bi 3.646 0.000 0.000
Se -0.036 2.170 6.140
Se 1.140 0.000 1.589
Se -0.036 -2.170 6.140
Se 4.898 2.170 1.594
Se 3.722 0.000 6.145
Se 4.898 -2.170 1.594
```

Summary:
calculated volume = 29.677 Å³/atom
uncorrected formation energy = -1070 meV per atom

***

Material: AcLa2Nd
Method: DFT, PBE
State: relaxed

```
4
Lattice="0.000 4.275 4.275 4.275 0.000 4.275 4.275 4.275 0.000" Properties=species:S:1:pos:R:3 pbc="T T T"
Ac 0.000 0.000 0.000
La 2.138 2.138 2.138
La 6.413 6.413 6.413
Nd 4.275 4.275 4.275
```

Summary:
calculated volume = 39.075 Å³/atom
ΔE_f = 138.5 meV/atom
Fermi-level density of states = 8.42 states/eV per cell
polymorph energy (0 for the lowest one) = 0.1275 eV per atom

***

Material: Nd5Dy6In
Method: DFT, PBE
State: relaxed

```
12
Lattice="-2.512 5.051 7.570 2.512 -5.051 7.570 2.512 5.051 -7.570" Properties=species:S:1:pos:R:3 pbc="T T T"
Nd 0.000 0.000 0.000
Nd 2.512 0.000 2.473
Nd 0.000 0.000 5.036
Nd 0.000 0.000 10.104
Nd 0.000 5.051 5.097
Dy 2.512 -2.474 5.084
Dy 2.512 2.594 0.000
Dy 0.000 2.577 2.486
Dy 2.512 2.474 5.084
Dy 0.000 2.457 7.570
Dy 0.000 7.525 2.486
In 0.000 5.051 0.000
```

Summary:
calculated volume = 32.016 Å³/atom
ΔE_f = -51.0 meV/atom
Fermi-level density of states = 15.59 states/eV per cell

***

Material: Hf2Tl2Hg
Method: DFT, PBE
State: relaxed

```
10
Lattice="8.500 0.000 0.000 0.000 8.500 0.000 0.000 0.000 3.383" Properties=species:S:1:pos:R:3 pbc="T T T"
Hf 1.061 3.189 0.000
Hf 3.189 7.440 0.000
Hf 5.311 1.061 0.000
Hf 7.440 5.311 0.000
Tl 1.491 5.742 1.691
Tl 2.759 1.491 1.691
Tl 5.742 7.009 1.691
Tl 7.009 2.759 1.691
Hg 0.000 0.000 0.000
Hg 4.250 4.250 0.000
```

Summary:
calculated volume = 24.443 Å³/atom
ΔE_f = 244.3 meV/atom
Fermi-level density of states = 7.77 states/eV per cell
polymorph energy (0 for the lowest one) = 0.0000 eV per atom

***

Material: InFeS3
Method: DFT, PBE
State: relaxed

```
5
Lattice="4.574 0.000 0.000 0.000 4.574 0.000 0.000 0.000 4.574" Properties=species:S:1:pos:R:3 pbc="T T T"
In 0.000 0.000 0.000
Fe 2.287 2.287 2.287
S 0.000 2.287 2.287
S 2.287 0.000 2.287
S 2.287 2.287 0.000
```

Summary:
calculated volume = 19.145 Å³/atom
uncorrected formation energy = 78 meV per atom
Fermi-level density of states = 3.95 states/eV per cell

***

Material: NiOsCl2
Method: DFT, PBE
State: relaxed

```
4
Lattice="0.000 3.212 3.212 3.212 0.000 3.212 3.212 3.212 0.000" Properties=species:S:1:pos:R:3 pbc="T T T"
Ni 0.000 0.000 0.000
Os 1.606 1.606 1.606
Cl 3.212 3.212 3.212
Cl 4.818 4.818 4.818
```

Summary:
calculated volume = 16.565 Å³/atom
uncorrected formation energy = 1291 meV per atom
Fermi-level density of states = 2.56 states/eV per cell
polymorph energy (0 for the lowest one) = 1.0852 eV per atom

***

Material: Ti3TcGe3
Method: DFT, PBE
State: relaxed

```
7
Lattice="4.394 2.537 1.771 -4.394 2.537 1.771 0.000 -5.074 1.771" Properties=species:S:1:pos:R:3 pbc="T T T"
Ti 0.000 -1.990 1.771
Ti -1.724 0.995 1.771
Ti 1.724 0.995 1.771
Tc 0.000 0.000 3.444
Ge -2.395 -1.382 2.725
Ge 2.395 -1.382 2.725
Ge 0.000 2.765 2.725
```

Summary:
calculated volume = 16.921 Å³/atom
ΔE_f = -246.6 meV/atom
Fermi-level density of states = 4.82 states/eV per cell

***

Material: PuRe2
Method: DFT, PBE
State: relaxed

```
12
Lattice="5.503 0.000 0.000 -2.752 4.766 0.000 0.000 0.000 8.474" Properties=species:S:1:pos:R:3 pbc="T T T"
Pu 0.000 3.177 0.588
Pu 0.000 3.177 3.650
Pu 2.752 1.589 4.825
Pu 2.752 1.589 7.887
Re 0.000 0.000 0.000
Re 0.000 0.000 4.237
Re 0.000 1.628 6.356
Re -1.342 3.952 6.356
Re 1.410 0.814 2.119
Re 1.342 3.952 6.356
Re 4.093 0.814 2.119
Re 2.752 3.138 2.119
```

Summary:
calculated volume = 18.521 Å³/atom
ΔE_f = 47.8 meV/atom
Fermi-level density of states = 35.93 states/eV per cell

***

Material: H3AuN
Method: DFT, PBE
State: relaxed

```
10
Lattice="3.851 0.000 0.000 0.000 3.980 0.000 -1.883 0.000 7.494" Properties=species:S:1:pos:R:3 pbc="T T T"
H -0.795 0.000 3.468
H 0.004 1.366 0.742
H 0.844 3.964 3.459
H 1.124 1.974 4.034
H 1.964 3.356 6.752
H 2.763 1.990 4.026
Au 0.006 3.407 1.012
Au 1.962 1.417 6.482
N 0.018 3.480 3.071
N 1.950 1.490 4.423
```

Summary:
calculated volume = 11.484 Å³/atom
Fermi-level density of states = 2.76 states/eV per cell
polymorph energy (0 for the lowest one) = 0.1778 eV per atom

***

Material: PmDy3
Method: DFT, PBE
State: relaxed

```
8
Lattice="7.253 0.000 0.000 -3.627 6.281 0.000 0.000 0.000 5.710" Properties=species:S:1:pos:R:3 pbc="T T T"
Pm 0.000 4.188 1.428
Pm 3.627 2.094 4.283
Dy 0.000 2.087 4.283
Dy -1.819 5.238 4.283
Dy 1.808 1.044 1.428
Dy 1.819 5.238 4.283
Dy 5.446 1.044 1.428
Dy 3.627 4.194 1.428
```

Summary:
calculated volume = 32.521 Å³/atom
ΔE_f = 13.3 meV/atom
Fermi-level density of states = 14.84 states/eV per cell
polymorph energy (0 for the lowest one) = 0.0000 eV per atom

***

Material: Dy3Hg5Bi
Method: DFT, PBE
State: relaxed

```
18
Lattice="9.052 0.000 0.000 -4.526 7.839 0.000 0.000 0.000 6.457" Properties=species:S:1:pos:R:3 pbc="T T T"
Dy -1.491 2.583 1.614
Dy -3.035 5.256 4.842
Dy 2.982 0.000 1.614
Dy 1.491 2.583 4.842
Dy 6.069 0.000 4.842
Dy 3.035 5.256 1.614
Hg -1.564 2.710 4.842
Hg -2.961 5.129 1.614
Hg 0.000 5.226 0.000
Hg 0.000 5.226 3.228
Hg 3.129 0.000 4.842
Hg 1.564 2.710 1.614
Hg 5.923 0.000 1.614
Hg 2.961 5.129 4.842
Hg 4.526 2.613 0.000
Hg 4.526 2.613 3.228
Bi 0.000 0.000 0.000
Bi 0.000 0.000 3.228
```

Summary:
calculated volume = 25.454 Å³/atom
ΔE_f = -397.0 meV/atom
Fermi-level density of states = 8.98 states/eV per cell

***

Material: Nd4ScTl2
Method: DFT, PBE
State: relaxed

```
7
Lattice="-2.931 2.931 6.618 2.931 -2.931 6.618 2.931 2.931 -6.618" Properties=species:S:1:pos:R:3 pbc="T T T"
Nd 2.931 0.000 0.000
Nd 2.931 0.000 3.309
Nd 0.000 2.931 0.000
Nd 0.000 2.931 3.309
Sc 0.000 0.000 0.000
Tl 0.000 0.000 4.945
Tl 0.000 0.000 8.291
```

Summary:
calculated volume = 32.484 Å³/atom
ΔE_f = 148.6 meV/atom
Fermi-level density of states = 10.32 states/eV per cell
polymorph energy (0 for the lowest one) = 0.1522 eV per atom

***

Material: Sn4I3Br4
Method: DFT, PBE
State: relaxed

```
11
Lattice="-2.069 4.996 8.718 2.069 -4.996 8.718 2.069 4.996 -8.718" Properties=species:S:1:pos:R:3 pbc="T T T"
Sn 0.000 0.000 4.303
Sn 2.069 2.518 0.000
Sn 0.000 2.478 8.718
Sn 0.000 0.000 13.133
I 0.000 0.000 0.000
I 2.069 0.000 6.809
I 0.000 4.996 1.909
Br 2.069 1.860 -2.957
Br 2.069 1.860 2.957
Br 0.000 3.136 5.761
Br 0.000 3.136 11.675
```

Summary:
calculated volume = 32.777 Å³/atom
uncorrected formation energy = -488 meV per atom
Fermi-level density of states = 2.07 states/eV per cell

***

Material: Cs4LiTl4
Method: DFT, PBE
State: relaxed

```
9
Lattice="-3.935 3.935 8.173 3.935 -3.935 8.173 3.935 3.935 -8.173" Properties=species:S:1:pos:R:3 pbc="T T T"
Cs 2.479 2.479 -2.103
Cs 1.456 -1.456 10.275
Cs 1.456 1.456 6.070
Cs -1.456 1.456 10.275
Li 0.000 0.000 0.000
Tl 2.737 -2.737 6.003
Tl 1.197 1.197 2.170
Tl -2.737 2.737 6.003
Tl 2.737 2.737 10.343
```

Summary:
calculated volume = 56.238 Å³/atom
ΔE_f = 85.3 meV/atom
Fermi-level density of states = 7.54 states/eV per cell

***

Material: CePmGePt
Method: DFT, PBE
State: relaxed

```
4
Lattice="0.000 3.629 3.629 3.629 0.000 3.629 3.629 3.629 0.000" Properties=species:S:1:pos:R:3 pbc="T T T"
Ce 0.000 0.000 0.000
Pm 3.629 3.629 3.629
Ge 1.815 1.815 1.815
Pt 5.444 5.444 5.444
```

Summary:
calculated volume = 23.906 Å³/atom
ΔE_f = -781.8 meV/atom
Fermi-level density of states = 7.82 states/eV per cell
polymorph energy (0 for the lowest one) = 0.0000 eV per atom

***

Material: Dy6GaTe5
Method: DFT, PBE
State: relaxed

```
12
Lattice="3.768 -6.501 0.000 3.768 6.501 0.000 -2.493 0.000 7.090" Properties=species:S:1:pos:R:3 pbc="T T T"
Dy -0.085 2.013 5.190
Dy 1.058 0.000 1.846
Dy -0.085 -2.013 5.190
Dy 5.129 2.013 1.901
Dy 3.987 0.000 5.244
Dy 5.129 -2.013 1.901
Ga -1.246 0.000 3.545
Te 3.768 4.214 0.000
Te 2.522 2.136 3.545
Te 3.768 0.000 0.000
Te 2.522 -2.136 3.545
Te 3.768 -4.214 0.000
```

Summary:
calculated volume = 28.952 Å³/atom
uncorrected formation energy = -1237 meV per atom
Fermi-level density of states = 5.98 states/eV per cell

***

Material: Dy3Ho7Th2
Method: DFT, PBE
State: relaxed

```
12
Lattice="3.553 0.000 0.000 -0.002 6.140 0.000 -1.775 -1.051 17.289" Properties=species:S:1:pos:R:3 pbc="T T T"
Dy 0.000 0.000 0.000
Dy -0.003 -0.039 11.517
Dy 1.780 5.127 5.772
Ho 0.002 4.085 2.873
Ho 0.000 4.038 8.657
Ho -0.002 4.043 14.423
Ho 1.776 3.070 0.000
Ho 1.779 1.045 2.867
Ho 1.777 1.050 8.632
Ho 1.775 1.003 14.417
Th 0.004 2.024 5.751
Th 1.773 3.064 11.538
```

Summary:
calculated volume = 31.434 Å³/atom
ΔE_f = 35.4 meV/atom
Fermi-level density of states = 15.87 states/eV per cell
polymorph energy (0 for the lowest one) = 0.0000 eV per atom

***

Material: MnBeIr2
Method: DFT, PBE
State: relaxed

```
4
Lattice="1.370 -2.284 0.000 1.370 2.284 0.000 0.000 0.000 8.310" Properties=species:S:1:pos:R:3 pbc="T T T"
Mn 0.000 0.000 0.000
Be 1.370 0.000 1.897
Ir 0.000 0.000 3.722
Ir 1.370 0.000 6.176
```

Summary:
calculated volume = 12.997 Å³/atom
ΔE_f = 119.3 meV/atom
Fermi-level density of states = 5.17 states/eV per cell

***

Material: CdBi3Pd
Method: DFT, PBE
State: relaxed

```
10
Lattice="3.525 0.000 0.000 0.000 10.113 0.000 -0.018 0.000 7.891" Properties=species:S:1:pos:R:3 pbc="T T T"
Cd 0.014 2.528 3.406
Cd 3.493 7.585 4.486
Bi 1.649 7.585 7.289
Bi 1.676 5.389 2.335
Bi 1.676 9.780 2.335
Bi 1.832 0.333 5.556
Bi 1.832 4.723 5.556
Bi 1.858 2.528 0.603
Pd 0.075 2.528 6.189
Pd 3.432 7.585 1.702
```

Summary:
calculated volume = 28.133 Å³/atom
ΔE_f = -80.6 meV/atom
Fermi-level density of states = 4.67 states/eV per cell
polymorph energy (0 for the lowest one) = 0.0501 eV per atom

***

Material: YAg3Ir
Method: DFT, PBE
State: relaxed

```
5
Lattice="5.019 0.000 0.000 0.000 5.019 0.000 0.000 0.000 5.019" Properties=species:S:1:pos:R:3 pbc="T T T"
Y 0.000 0.000 0.000
Ag 0.000 2.510 2.510
Ag 2.510 0.000 2.510
Ag 2.510 2.510 0.000
Ir 2.510 2.510 2.510
```

Summary:
calculated volume = 25.289 Å³/atom
ΔE_f = 645.8 meV/atom
Fermi-level density of states = 3.71 states/eV per cell
polymorph energy (0 for the lowest one) = 0.0000 eV per atom

***

Material: Ac2ZnPt2
Method: DFT, PBE
State: relaxed

```
10
Lattice="5.931 -2.176 0.000 5.931 2.176 0.000 -5.590 0.000 10.087" Properties=species:S:1:pos:R:3 pbc="T T T"
Ac -1.207 0.000 4.055
Ac -1.018 0.000 8.575
Ac 7.291 0.000 1.512
Ac 7.480 0.000 6.032
Zn 3.782 0.000 1.765
Zn 2.490 0.000 8.322
Pt -4.472 0.000 9.214
Pt 2.021 0.000 3.799
Pt 4.252 0.000 6.288
Pt 10.744 0.000 0.874
```

Summary:
calculated volume = 26.032 Å³/atom
ΔE_f = -941.0 meV/atom
Fermi-level density of states = 6.04 states/eV per cell
polymorph energy (0 for the lowest one) = 0.0000 eV per atom

***

Material: NdSm3Ho12
Method: DFT, PBE
State: relaxed

```
16
Lattice="5.023 0.000 0.000 0.000 5.023 0.000 0.000 0.000 20.098" Properties=species:S:1:pos:R:3 pbc="T T T"
Nd 0.000 0.000 0.000
Sm 0.000 0.000 5.031
Sm 0.000 0.000 10.049
Sm 0.000 0.000 15.067
Ho 0.000 2.512 2.525
Ho 0.000 2.512 7.542
Ho 0.000 2.512 12.556
Ho 0.000 2.512 17.572
Ho 2.512 0.000 2.525
Ho 2.512 0.000 7.542
Ho 2.512 0.000 12.556
Ho 2.512 0.000 17.572
Ho 2.512 2.512 0.000
Ho 2.512 2.512 5.035
Ho 2.512 2.512 10.049
Ho 2.512 2.512 15.063
```

Summary:
calculated volume = 31.698 Å³/atom
ΔE_f = 20.6 meV/atom
Fermi-level density of states = 21.63 states/eV per cell

***

Material: Ba4GeBi
Method: DFT, PBE
State: relaxed

```
12
Lattice="5.415 -7.686 0.000 5.415 7.686 0.000 -4.256 0.000 6.654" Properties=species:S:1:pos:R:3 pbc="T T T"
Ba 0.274 5.052 6.096
Ba 0.103 0.941 4.742
Ba 4.171 5.052 3.884
Ba 2.231 -0.941 1.415
Ba 4.342 0.941 5.239
Ba 2.402 -5.052 2.769
Ba 6.470 -0.941 1.912
Ba 6.299 -5.052 0.558
Ge 4.351 7.668 1.663
Ge 2.223 -7.668 4.990
Bi 4.351 2.080 1.663
Bi 2.223 -2.080 4.990
```

Summary:
calculated volume = 46.151 Å³/atom
ΔE_f = -590.5 meV/atom
Fermi-level density of states = 7.23 states/eV per cell

***

no.,total energy (eV/atom),total magnetic moment (μB/atom)
1,-4.487,0.000
2,-4.544,0.483
3,-4.567,0.000
4,-4.744,0.000
5,-4.639,0.687
6,-3.885,1.005
7,-7.090,0.000
8,-13.028,1.642
9,-4.189,0.078
10,-4.626,0.000
11,-2.530,0.000
12,-4.156,0.000
13,-2.974,0.000
14,-1.558,0.000
15,-6.117,0.244
16,-5.099,0.000
17,-5.022,0.000
18,-7.535,0.591
19,-3.631,0.000
20,-4.130,0.000
21,-5.255,0.000
22,-4.596,0.000
23,-3.289,0.114